Entry from the Alexandria database: a geometry-optimized Cs2Cr2AgF7 structure (PBE+U).

Cell and atoms, written as POSCAR:
```
Cs2Cr2AgF7
1.0
4.3853 -0.0029 0.0130
0.0025 4.3853 0.0130
2.1666 2.1639 11.2419
F Cs Cr Ag
7 2 2 1
Cartesian
2.1771 4.3690 9.3265
4.3772 2.1774 1.9413
4.3716 2.1718 9.3265
4.3760 4.3706 7.2340
2.1828 4.3746 1.9413
2.1784 2.1758 4.0339
2.1939 2.1912 0.0130
4.3717 4.3664 4.0836
2.1826 2.1800 7.1843
2.1849 2.1822 2.0038
4.3695 4.3642 9.2641
0.0000 0.0000 0.0000
```

volume: 18.00 A^3/atom
total magnetic moment: 7.96 μB/cell
mass density: 4.70 g/cm3
space-group type: C2/m
VASP energy: -5.055 eV/atom